Entry 1:
First-principles (PBE) data for a geometry-optimized CdSi2Te structure, as listed in Alexandria.

a b c (Å): 7.0035 7.0035 7.0035
angles (deg): 90.00 90.00 90.00
Space group Fm-3m (No. 225)
Inequivalent atoms, fractional coordinates:
Cd1 0.0000 0.0000 0.0000 x4
Si1 0.2500 0.2500 0.2500 x8
Te1 0.0000 0.0000 0.5000 x4

## Properties
For the excess energy over the best structure of this formula in the dataset, the calculation gives 1.71 eV/f.u. For the calculated volume, the calculation gives 343.5 Å³ per cell. For the total magnetic moment, the calculation gives 0.00 μB per atom. The crystal system is cubic. The energy relative to the elements, uncorrected comes out at 0.624 eV/atom.

=====

Entry 2:
First-principles (PBE) data for a geometry-optimized CdSi2Te structure, as listed in Alexandria.

a b c (Å): 4.3894 4.3894 4.5117
angles (deg): 90.00 90.00 90.00
Space group P4/mmm (No. 123)
Inequivalent atoms, fractional coordinates:
Cd1 0.0000 0.0000 0.0000 x1
Si1 0.0000 0.5000 0.5000 x2
Te1 0.5000 0.5000 0.0000 x1

## Properties
For the excess energy over the best structure of this formula in the dataset, the calculation gives 1.73 eV/f.u. For the calculated volume, the calculation gives 86.9 Å³ per cell. For the total magnetic moment, the calculation gives 0.00 μB per atom. The crystal system is tetragonal. The energy relative to the elements, uncorrected comes out at 0.629 eV/atom.

=====

Entry 3:
First-principles (PBE) data for a geometry-optimized Cd2SiTe structure, as listed in Alexandria.

a b c (Å): 8.7089 3.9305 6.5005
angles (deg): 90.00 112.14 90.00
Space group Cm (No. 8)
Inequivalent atoms, fractional coordinates:
Cd1 0.0000 0.0000 0.0000 x2
Cd2 0.1965 0.0000 0.7299 x2
Si1 0.2505 0.5000 0.1314 x2
Te1 0.3967 0.0000 0.4578 x2

## Properties
For the excess energy over the best structure of this formula in the dataset, the calculation gives 0.00 eV/f.u. For the calculated volume, the calculation gives 206.1 Å³ per cell. For the total magnetic moment, the calculation gives 0.00 μB per atom. The crystal system is monoclinic. The energy relative to the elements, uncorrected comes out at 0.132 eV/atom.

=====

Entry 4:
First-principles (PBE) data for a geometry-optimized CdSiTe2 structure, as listed in Alexandria.

a b c (Å): 3.7663 4.5229 12.8042
angles (deg): 90.00 90.00 90.00
Space group Immm (No. 71)
Inequivalent atoms, fractional coordinates:
Cd1 0.0000 0.0000 0.0000 x2
Si1 0.0000 0.0000 0.5000 x2
Te1 0.0000 0.5000 0.1640 x4

## Properties
For the excess energy over the best structure of this formula in the dataset, the calculation gives 1.02 eV/f.u. For the calculated volume, the calculation gives 218.1 Å³ per cell. For the total magnetic moment, the calculation gives 0.00 μB per atom. The crystal system is orthorhombic. The energy relative to the elements, uncorrected comes out at 0.213 eV/atom.

=====

Entry 5:
First-principles (PBE) data for a geometry-optimized Cd2SiTe structure, as listed in Alexandria.

a b c (Å): 3.9360 4.7074 5.1346
angles (deg): 90.00 90.00 90.00
Space group Pmmm (No. 47)
Inequivalent atoms, fractional coordinates:
Cd1 0.0000 0.0000 0.0000 x1
Cd2 0.5000 0.5000 0.0000 x1
Si1 0.0000 0.5000 0.5000 x1
Te1 0.5000 0.0000 0.5000 x1

## Properties
For the excess energy over the best structure of this formula in the dataset, the calculation gives 0.81 eV/f.u. For the calculated volume, the calculation gives 95.1 Å³ per cell. For the total magnetic moment, the calculation gives 0.00 μB per atom. The crystal system is orthorhombic. The energy relative to the elements, uncorrected comes out at 0.335 eV/atom.

=====

Entry 6:
First-principles (PBE) data for a geometry-optimized CdSi2Te structure, as listed in Alexandria.

a b c (Å): 7.9539 7.8978 2.9300
angles (deg): 90.00 92.71 90.00
Space group C2/m (No. 12)
Inequivalent atoms, fractional coordinates:
Cd1 0.0000 0.0000 0.0000 x2
Si1 0.2500 0.2500 0.0000 x4
Te1 0.0000 0.5000 0.0000 x2

## Properties
For the excess energy over the best structure of this formula in the dataset, the calculation gives 1.04 eV/f.u. For the calculated volume, the calculation gives 183.9 Å³ per cell. For the total magnetic moment, the calculation gives 0.00 μB per atom. The crystal system is monoclinic. The energy relative to the elements, uncorrected comes out at 0.456 eV/atom.

=====

Entry 7:
First-principles (PBE) data for a geometry-optimized CdSiTe2 structure, as listed in Alexandria.

a b c (Å): 3.9091 3.9091 26.0804
angles (deg): 90.00 90.00 120.00
Space group R3m (No. 160, hexagonal axes)
Inequivalent atoms, fractional coordinates:
Cd1 0.0000 0.0000 0.0000 x3
Si1 0.0000 0.0000 0.2577 x3
Te1 0.0000 0.0000 0.5331 x3
Te2 0.0000 0.0000 0.7351 x3

## Properties
For the excess energy over the best structure of this formula in the dataset, the calculation gives 0.57 eV/f.u. For the calculated volume, the calculation gives 345.1 Å³ per cell. For the total magnetic moment, the calculation gives 0.00 μB per atom. The crystal system is trigonal. The energy relative to the elements, uncorrected comes out at 0.101 eV/atom.

=====

Entry 8:
First-principles (PBE) data for a geometry-optimized CdSi2Te structure, as listed in Alexandria.

a b c (Å): 3.6002 5.0226 9.5400
angles (deg): 90.00 90.00 90.00
Space group Immm (No. 71)
Inequivalent atoms, fractional coordinates:
Cd1 0.0000 0.0000 0.0000 x2
Si1 0.0000 0.5000 0.2392 x4
Te1 0.0000 0.0000 0.5000 x2

## Properties
For the excess energy over the best structure of this formula in the dataset, the calculation gives 1.43 eV/f.u. For the calculated volume, the calculation gives 172.5 Å³ per cell. For the total magnetic moment, the calculation gives 0.00 μB per atom. The crystal system is orthorhombic. The energy relative to the elements, uncorrected comes out at 0.556 eV/atom.

=====

Entry 9:
First-principles (PBE) data for a geometry-optimized CdSi2Te structure, as listed in Alexandria.

a b c (Å): 3.9801 5.2518 8.2403
angles (deg): 90.00 90.00 90.00
Space group Cmm2 (No. 35)
Inequivalent atoms, fractional coordinates:
Cd1 0.0000 0.0000 0.0000 x2
Si1 0.0000 0.0000 0.5854 x2
Si2 0.0000 0.5000 0.7529 x2
Te1 0.0000 0.5000 0.3111 x2

## Properties
For the excess energy over the best structure of this formula in the dataset, the calculation gives 0.98 eV/f.u. For the calculated volume, the calculation gives 172.2 Å³ per cell. For the total magnetic moment, the calculation gives 0.00 μB per atom. The crystal system is orthorhombic. The energy relative to the elements, uncorrected comes out at 0.442 eV/atom.

=====

Entry 10:
First-principles (PBE) data for a geometry-optimized CdSi2Te structure, as listed in Alexandria.

a b c (Å): 6.1280 6.1280 12.1758
angles (deg): 90.00 90.00 90.00
Space group I-42d (No. 122)
Inequivalent atoms, fractional coordinates:
Cd1 0.0000 0.0000 0.0000 x4
Si1 0.2354 0.2500 0.1250 x8
Te1 0.0000 0.0000 0.5000 x4

## Properties
For the excess energy over the best structure of this formula in the dataset, the calculation gives 0.94 eV/f.u. For the calculated volume, the calculation gives 457.2 Å³ per cell. For the total magnetic moment, the calculation gives 0.00 μB per atom. The crystal system is tetragonal. The energy relative to the elements, uncorrected comes out at 0.432 eV/atom.

=====

Entry 11:
First-principles (PBE) data for a geometry-optimized Cd4SiTe structure, as listed in Alexandria.

a b c (Å): 8.3231 8.3231 8.3231
angles (deg): 90.00 90.00 90.00
Space group F-43m (No. 216)
Inequivalent atoms, fractional coordinates:
Cd1 0.1244 0.1244 0.1244 x16
Si1 0.2500 0.2500 0.7500 x4
Te1 0.0000 0.0000 0.5000 x4

## Properties
For the calculated volume, the calculation gives 576.6 Å³ per cell. For the total magnetic moment, the calculation gives 0.00 μB per atom. The crystal system is cubic. The energy relative to the elements, uncorrected comes out at 0.379 eV/atom.

=====

Entry 12:
First-principles (PBE) data for a geometry-optimized CdSiTe structure, as listed in Alexandria.

a b c (Å): 3.5814 3.5814 11.2690
angles (deg): 90.00 90.00 90.00
Space group I4mm (No. 107)
Inequivalent atoms, fractional coordinates:
Cd1 0.0000 0.0000 0.0000 x2
Si1 0.0000 0.0000 0.6722 x2
Te1 0.0000 0.0000 0.2903 x2

## Properties
For the excess energy over the best structure of this formula in the dataset, the calculation gives 0.51 eV/f.u. For the calculated volume, the calculation gives 144.5 Å³ per cell. For the total magnetic moment, the calculation gives 0.00 μB per atom. The crystal system is tetragonal. The energy relative to the elements, uncorrected comes out at 0.352 eV/atom.

=====

Entry 13:
First-principles (PBE) data for a geometry-optimized CdSi2Te structure, as listed in Alexandria.

a b c (Å): 3.7975 3.7975 21.1789
angles (deg): 90.00 90.00 120.00
Space group R3m (No. 160, hexagonal axes)
Inequivalent atoms, fractional coordinates:
Cd1 0.0000 0.0000 0.0000 x3
Si1 0.0000 0.0000 0.2466 x3
Si2 0.0000 0.0000 0.5284 x3
Te1 0.0000 0.0000 0.7710 x3

## Properties
For the excess energy over the best structure of this formula in the dataset, the calculation gives 0.00 eV/f.u. For the calculated volume, the calculation gives 264.5 Å³ per cell. For the total magnetic moment, the calculation gives 0.00 μB per atom. The crystal system is trigonal. The energy relative to the elements, uncorrected comes out at 0.197 eV/atom.

=====

Entry 14:
First-principles (PBE) data for a geometry-optimized Cd2SiTe structure, as listed in Alexandria.

a b c (Å): 13.6161 2.9314 5.3246
angles (deg): 90.00 112.75 90.00
Space group C2/m (No. 12)
Inequivalent atoms, fractional coordinates:
Cd1 0.2075 0.0000 0.2082 x4
Si1 0.0000 0.5000 0.0000 x2
Te1 0.0000 0.0000 0.5000 x2

## Properties
For the excess energy over the best structure of this formula in the dataset, the calculation gives 0.61 eV/f.u. For the calculated volume, the calculation gives 196.0 Å³ per cell. For the total magnetic moment, the calculation gives 0.00 μB per atom. The crystal system is monoclinic. The energy relative to the elements, uncorrected comes out at 0.285 eV/atom.

=====

Entry 15:
First-principles (PBE) data for a geometry-optimized CdSiTe2 structure, as listed in Alexandria.

a b c (Å): 3.7867 3.7867 30.7614
angles (deg): 90.00 90.00 120.00
Space group R-3m (No. 166, hexagonal axes)
Inequivalent atoms, fractional coordinates:
Cd1 0.0000 0.0000 0.0000 x3
Si1 0.0000 0.0000 0.5000 x3
Te1 0.0000 0.0000 0.1138 x6

## Properties
For the excess energy over the best structure of this formula in the dataset, the calculation gives 0.76 eV/f.u. For the calculated volume, the calculation gives 382.0 Å³ per cell. For the total magnetic moment, the calculation gives 0.00 μB per atom. The crystal system is trigonal. The energy relative to the elements, uncorrected comes out at 0.148 eV/atom.

=====

Entry 16:
First-principles (PBE) data for a geometry-optimized Ti2CdSiTe structure, as listed in Alexandria.

a b c (Å): 5.2887 5.2887 4.5244
angles (deg): 90.00 90.00 90.00
Space group P4/mmm (No. 123)
Inequivalent atoms, fractional coordinates:
Ti1 0.0000 0.5000 0.0000 x2
Cd1 0.0000 0.0000 0.0000 x1
Si1 0.0000 0.0000 0.5000 x1
Te1 0.5000 0.5000 0.5000 x1

## Properties
For the calculated volume, the calculation gives 126.5 Å³ per cell. For the total magnetic moment, the calculation gives 0.71 μB per atom. The crystal system is tetragonal. The energy relative to the elements, uncorrected comes out at 0.957 eV/atom.

=====

Entry 17:
First-principles (PBE) data for a geometry-optimized Th2CdSi structure, as listed in Alexandria.

a b c (Å): 3.8445 3.8445 7.0467
angles (deg): 90.00 90.00 90.00
Space group P4/mmm (No. 123)
Inequivalent atoms, fractional coordinates:
Th1 0.0000 0.0000 0.2263 x2
Cd1 0.5000 0.5000 0.5000 x1
Si1 0.5000 0.5000 0.0000 x1

## Properties
For the calculated volume, the calculation gives 104.1 Å³ per cell. For the total magnetic moment, the calculation gives 0.00 μB per atom. The crystal system is tetragonal. The energy relative to the elements, uncorrected comes out at -0.289 eV/atom.

=====

Entry 18:
First-principles (PBE) data for a geometry-optimized ThCdSi structure, as listed in Alexandria.

a b c (Å): 4.1509 18.1052 3.8645
angles (deg): 90.00 90.00 90.00
Space group Cmcm (No. 63)
Inequivalent atoms, fractional coordinates:
Th1 0.0000 0.0936 0.2500 x4
Cd1 0.0000 0.2872 0.2500 x4
Si1 0.0000 0.4603 0.2500 x4

## Properties
For the calculated volume, the calculation gives 290.4 Å³ per cell. For the total magnetic moment, the calculation gives 0.00 μB per atom. The crystal system is orthorhombic. The energy relative to the elements, uncorrected comes out at -0.383 eV/atom.

=====

Entry 19:
First-principles (PBE) data for a geometry-optimized Th2CdSi structure, as listed in Alexandria.

a b c (Å): 4.1093 4.1093 24.3703
angles (deg): 90.00 90.00 120.00
Space group R-3m (No. 166, hexagonal axes)
Inequivalent atoms, fractional coordinates:
Th1 0.0000 0.0000 0.2368 x6
Cd1 0.0000 0.0000 0.0000 x3
Si1 0.0000 0.0000 0.5000 x3

## Properties
For the calculated volume, the calculation gives 356.4 Å³ per cell. For the total magnetic moment, the calculation gives 0.00 μB per atom. The crystal system is trigonal. The energy relative to the elements, uncorrected comes out at -0.272 eV/atom.

=====

Entry 20:
First-principles (PBE) data for a geometry-optimized TiCd2Si structure, as listed in Alexandria.

a b c (Å): 7.8071 7.8071 5.3081
angles (deg): 90.00 90.00 90.00
Space group I-42d (No. 122)
Inequivalent atoms, fractional coordinates:
Ti1 0.0000 0.0000 0.0000 x4
Cd1 0.2141 0.2500 0.6250 x8
Si1 0.0000 0.0000 0.5000 x4

## Properties
For the calculated volume, the calculation gives 323.5 Å³ per cell. For the total magnetic moment, the calculation gives 0.00 μB per atom. The crystal system is tetragonal. The energy relative to the elements, uncorrected comes out at 0.262 eV/atom.

=====

Record-wise VASP energy values, in eV per formula unit: -12.407; -12.386; -9.868; -11.770; -9.054; -13.077; -12.216; -12.680; -13.134; -13.176; -9.952; -8.424; -14.113; -9.254; -12.028; -20.486; -22.333; -14.908; -22.264; -14.102